Density functional theory data (PBE-GGA) for Zn3CoB after structural relaxation.

Cell: 4.0651 4.0651 4.0651 Å, 90.00 90.00 90.00°
With the nearest neighbours (Å) after each atom.
Fractional coordinates of all 5 atoms:
1 Zn 0.0000 0.5000 0.0000  2 B 2.03
2 Zn 0.0000 0.0000 0.5000  2 B 2.03
3 Zn 0.5000 0.0000 0.0000  2 B 2.03
4 B 0.0000 0.0000 0.0000  6 Zn 2.03
5 Co 0.5000 0.5000 0.5000  12 Zn 2.87

Output
**Symmetry**: No. 221
**Magnetic moment**: 1.213 μB/f.u.
**Formation energy**: 0.589 eV per atom
**E above lowest polymorph**: 0.000 kcal/mol of atoms
**Energy**: -14.66 eV per formula unit
**Density**: 6.6 g/cm3

---

Density functional theory data (PBE-GGA) for PrYTm after structural relaxation.

Cell: 3.5334 5.6563 5.6563 Å, 120.00 90.00 90.00°
With the nearest neighbours (Å) after each atom.
Fractional coordinates of all 3 atoms:
1 Pr 0.1668 0.0000 0.0000  3 Tm 3.27, 2 Pr 3.53
2 Y 0.6665 0.6667 0.3333  2 Y 3.53, 6 Pr 3.71, 6 Tm 3.71
3 Tm 0.1667 0.3333 0.6667  3 Pr 3.27, 2 Tm 3.53

Output
**Symmetry**: No. 187
**Magnetic moment**: 0.000 μB/f.u.
**Formation energy**: 0.069 eV per atom
**E above lowest polymorph**: 1.103 kcal/mol of atoms
**Energy**: -15.51 eV per formula unit
**Density**: 6.8 g/cm3

---

Density functional theory data (PBE-GGA) for Nd8Tl2Pt after structural relaxation.

Cell: 6.1064 9.3931 9.3931 Å, 121.86 108.34 108.34°
With the nearest neighbours (Å) after each atom.
Fractional coordinates of all 11 atoms:
1 Nd 0.7152 0.4148 0.1767  1 Pt 2.90
2 Nd 0.7152 0.1767 0.4148  1 Pt 2.90
3 Nd 0.9793 0.1397 0.1397  1 Pt 2.82
4 Nd 0.0008 0.2182 0.8218  4 Tl 3.41-3.55, 5 Nd 3.41-3.60, 1 Pt 3.74
5 Nd 0.0008 0.8218 0.2182  4 Tl 3.41-3.55, 5 Nd 3.41-3.60, 1 Pt 3.74
6 Nd 0.6776 0.6450 0.6450  1 Pt 3.03
7 Nd 0.3232 0.9015 0.6707  1 Pt 2.90
8 Nd 0.3232 0.6707 0.9015  1 Pt 2.90
9 Tl 0.4828 0.7156 0.3145  9 Nd 3.39-3.56
10 Tl 0.4828 0.3145 0.7156  9 Nd 3.39-3.56
11 Pt 0.2986 0.0153 0.0153  6 Nd 2.82-3.03

Output
**Symmetry**: No. 8
**Magnetic moment**: 0.000 μB/f.u.
**Formation energy**: -0.311 eV per atom
**E above lowest polymorph**: 0.396 kcal/mol of atoms
**Energy**: -52.34 eV per formula unit
**Density**: 8.4 g/cm3

---

Density functional theory data (PBE-GGA) for TaCuSN2 after structural relaxation.

Cell: 3.7465 3.7465 4.3411 Å, 90.00 90.00 90.00°
With the nearest neighbours (Å) after each atom.
Fractional coordinates of all 5 atoms:
1 S 0.0000 0.0000 0.5000  2 Cu 2.17
2 N 0.0000 0.5000 0.0000  2 Cu 1.87
3 N 0.5000 0.0000 0.0000  2 Cu 1.87
4 Cu 0.0000 0.0000 0.0000  4 N 1.87
5 Ta 0.5000 0.5000 0.5000  4 S 2.65, 8 N 2.87

Output
**Symmetry**: No. 123
**Magnetic moment**: 0.000 μB/f.u.
**E above lowest polymorph**: 20.422 kcal/mol of atoms
**Energy**: -30.47 eV per formula unit
**Density**: 8.3 g/cm3
**ΔE_f (raw)**: 1.25 eV per atom

---

Density functional theory data (PBE-GGA) for Sc2CdCoB after structural relaxation.

Cell: 4.7353 4.7353 3.7724 Å, 90.00 90.00 90.00°
With the nearest neighbours (Å) after each atom.
Fractional coordinates of all 5 atoms:
1 Sc 0.0000 0.5000 0.0000  2 B 2.37
2 Sc 0.5000 0.0000 0.0000  2 B 2.37
3 B 0.0000 0.0000 0.0000  2 Co 1.89
4 Co 0.0000 0.0000 0.5000  2 B 1.89
5 Cd 0.5000 0.5000 0.5000  8 Sc 3.03, 4 Co 3.35

Output
**Symmetry**: No. 123
**Magnetic moment**: 0.000 μB/f.u.
**Formation energy**: -0.299 eV per atom
**Energy**: -28.86 eV per formula unit
**Density**: 5.3 g/cm3

---

Density functional theory data (PBE-GGA) for Tm5Te2H after structural relaxation.

Cell: 3.8601 9.7380 13.0653 Å, 90.00 90.00 101.43°
With the nearest neighbours (Å) after each atom.
Fractional coordinates of all 16 atoms:
1 Tm 0.9154 0.8307 0.8818  1 H 2.15
2 Tm 0.9154 0.8307 0.6182  1 H 2.15
3 Tm 0.3143 0.6285 0.4461  2 Te 2.99
4 Tm 0.3143 0.6285 0.0539  2 Te 2.99
5 Tm 0.7070 0.4140 0.2500  2 H 2.20
6 Tm 0.2930 0.5860 0.7500  2 H 2.20
7 Tm 0.6857 0.3715 0.5539  2 Te 2.99
8 Tm 0.6857 0.3715 0.9461  2 Te 2.99
9 Tm 0.0846 0.1693 0.1182  1 H 2.15
10 Tm 0.0846 0.1693 0.3818  1 H 2.15
11 Te 0.9273 0.8545 0.3885  4 Tm 2.99-3.01
12 Te 0.9273 0.8545 0.1115  4 Tm 2.99-3.01
13 Te 0.0727 0.1455 0.6115  4 Tm 2.99-3.01
14 Te 0.0727 0.1455 0.8885  4 Tm 2.99-3.01
15 H 0.8482 0.6964 0.7500  4 Tm 2.15-2.20
16 H 0.1518 0.3036 0.2500  4 Tm 2.15-2.20

Output
**Symmetry**: No. 63
**Magnetic moment**: 0.906 μB/f.u.
**Energy**: -35.34 eV per formula unit
**Density**: 7.6 g/cm3

---

Density functional theory data (PBE-GGA) for CdP2OsS after structural relaxation.

Cell: 4.4514 4.4514 5.4146 Å, 90.00 90.00 90.00°
With the nearest neighbours (Å) after each atom.
Fractional coordinates of all 5 atoms:
1 P 0.0000 0.5000 0.0000  2 Os 2.23
2 P 0.5000 0.0000 0.0000  2 Os 2.23
3 S 0.0000 0.0000 0.5000  2 Os 2.71
4 Os 0.0000 0.0000 0.0000  4 P 2.23
5 Cd 0.5000 0.5000 0.5000  4 S 3.15, 8 P 3.50

Output
**Symmetry**: No. 123
**Magnetic moment**: 0.000 μB/f.u.
**E above lowest polymorph**: 0.000 kcal/mol of atoms
**Energy**: -24.67 eV per formula unit
**Density**: 6.1 g/cm3
**ΔE_f (raw)**: 0.49 eV per atom

---

Density functional theory data (PBE-GGA) for Ca2MgZnH after structural relaxation.

Cell: 4.9833 4.9833 4.2737 Å, 90.00 90.00 90.00°
With the nearest neighbours (Å) after each atom.
Fractional coordinates of all 5 atoms:
1 Mg 0.0000 0.0000 0.5000  2 H 2.14
2 H 0.0000 0.0000 0.0000  2 Mg 2.14
3 Zn 0.5000 0.5000 0.5000  8 Ca 3.28, 4 Mg 3.52
4 Ca 0.0000 0.5000 0.0000  2 H 2.49
5 Ca 0.5000 0.0000 0.0000  2 H 2.49

Output
**Symmetry**: No. 123
**Magnetic moment**: 0.000 μB/f.u.
**E above lowest polymorph**: 0.000 kcal/mol of atoms
**Energy**: -11.22 eV per formula unit
**Density**: 2.7 g/cm3

---

Density functional theory data (PBE-GGA) for TaSb2Os after structural relaxation.

Cell: 5.6492 5.6492 5.6492 Å, 147.75 123.57 66.50°
With the nearest neighbours (Å) after each atom.
Fractional coordinates of all 4 atoms:
1 Os 0.2500 0.7500 0.5000  4 Sb 2.67
2 Sb 0.0209 0.0209 0.0000  2 Os 2.67
3 Sb 0.4791 0.4791 0.0000  2 Os 2.67
4 Ta 0.7500 0.2500 0.5000  4 Sb 3.00, 4 Os 3.10, 2 Ta 3.14

Output
**Symmetry**: No. 71
**Magnetic moment**: 0.000 μB/f.u.
**E above lowest polymorph**: 14.263 kcal/mol of atoms
**Energy**: -28.74 eV per formula unit
**Density**: 12.9 g/cm3
**ΔE_f (raw)**: 0.65 eV per atom

---

Density functional theory data (PBE-GGA) for Cs4CaTh3Se8 after structural relaxation.

Cell: 8.7169 9.8197 8.7172 Å, 116.35 120.00 90.00°
With the nearest neighbours (Å) after each atom.
Fractional coordinates of all 16 atoms:
1 Cs 0.5000 0.0000 0.0000  6 Se 3.59
2 Cs 0.5000 0.0000 0.5000  6 Se 3.61-3.64
3 Cs 0.0000 0.0000 0.0000  6 Se 3.61-3.64
4 Cs 0.0000 0.0000 0.5000  6 Se 3.61-3.64
5 Ca 0.0000 0.5000 0.0000  6 Se 3.02-3.03
6 Th 0.5000 0.5000 0.0000  6 Se 2.96-3.00
7 Th 0.5000 0.5000 0.5000  6 Se 2.97-2.99
8 Th 0.0000 0.5000 0.5000  6 Se 2.97-2.99
9 Se 0.2334 0.6904 0.9573  2 Th 2.96-2.97, 1 Ca 3.02
10 Se 0.2333 0.6904 0.4666  2 Th 2.97, 1 Ca 3.03
11 Se 0.2689 0.3073 0.5377  3 Th 2.99-3.00
12 Se 0.7239 0.6904 0.9573  2 Th 2.96-2.97, 1 Ca 3.02
13 Se 0.2761 0.3096 0.0427  2 Th 2.96-2.97, 1 Ca 3.02
14 Se 0.7311 0.6927 0.4623  3 Th 2.99-3.00
15 Se 0.7667 0.3096 0.5334  2 Th 2.97, 1 Ca 3.03
16 Se 0.7666 0.3096 0.0427  2 Th 2.96-2.97, 1 Ca 3.02

Output
**Symmetry**: No. 166
**Magnetic moment**: 0.004 μB/f.u.
**Energy**: -81.09 eV per formula unit
**Density**: 5.7 g/cm3
**ΔE_f (raw)**: -1.60 eV per atom

---

Density functional theory data (PBE-GGA) for TcTeCl2 after structural relaxation.

Cell: 3.6307 6.8780 6.8775 Å, 39.92 90.00 90.00°
With the nearest neighbours (Å) after each atom.
Fractional coordinates of all 4 atoms:
1 Te 0.5000 0.6507 0.6506  2 Tc 2.57
2 Tc 0.0000 0.5098 0.5098  4 Cl 2.40-2.57, 2 Te 2.57
3 Cl 0.0000 0.9700 0.9700  2 Tc 2.40
4 Cl 0.5000 0.3694 0.3695  2 Tc 2.57

Output
**Symmetry**: No. 38
**Magnetic moment**: 0.921 μB/f.u.
**E above lowest polymorph**: 0.338 kcal/mol of atoms
**Energy**: -18.23 eV per formula unit
**Density**: 4.5 g/cm3
**ΔE_f (raw)**: -0.26 eV per atom

---

Density functional theory data (PBE-GGA) for Li2AlMo after structural relaxation.

Cell: 5.3660 5.3660 5.3660 Å, 140.32 140.32 57.36°
With the nearest neighbours (Å) after each atom.
Fractional coordinates of all 4 atoms:
1 Al 0.7500 0.2500 0.5000  4 Mo 2.58
2 Li 0.0000 0.0000 0.0000  4 Li 2.58
3 Li 0.5000 0.5000 0.0000  4 Li 2.58
4 Mo 0.2500 0.7500 0.5000  4 Al 2.58

Output
**Symmetry**: No. 139
**Magnetic moment**: 0.000 μB/f.u.
**Formation energy**: 0.227 eV per atom
**Energy**: -17.49 eV per formula unit
**Density**: 3.6 g/cm3